Record 1
## InBiSbSe (PBE-GGA)

Data for InBiSbSe after structural relaxation.

Values from the calculation:
Formation energy (no corrections)   -0.14 eV per atom
Fermi-level density of states   3.61 states/eV per cell

Structure (CIF):
```
data_InBiSbSe
_chemical_formula_sum 'In2 Bi2 Sb2 Se2'
_cell_length_a 7.293
_cell_length_b 4.257
_cell_length_c 8.852
_cell_angle_alpha 90.00
_cell_angle_beta 101.83
_cell_angle_gamma 90.00
_symmetry_space_group_name_H-M 'C 1 m 1'
_symmetry_Int_Tables_number 8
_symmetry_space_group_name_Hall 'C -2y'
loop_
_atom_site_label
_atom_site_fract_x
_atom_site_fract_y
_atom_site_fract_z
In1 0.000 0.000 0.000
Bi1 0.034 0.000 0.475
Sb1 0.253 0.500 0.675
Se1 0.198 0.500 0.156
```

=====

Record 2
## CaAcLaTb (PBE-GGA)

Data for CaAcLaTb after structural relaxation.

Values from the calculation:
Calculated formation energy   2.14 kcal/mol of atoms
Fermi-level density of states   22.80 states/eV per cell

Structure (CIF):
```
data_CaAcLaTb
_chemical_formula_sum 'Ca4 Ac4 La4 Tb4'
_cell_length_a 8.520
_cell_length_b 8.520
_cell_length_c 8.520
_cell_angle_alpha 90.00
_cell_angle_beta 90.00
_cell_angle_gamma 90.00
_symmetry_space_group_name_H-M 'F -4 3 m'
_symmetry_Int_Tables_number 216
_symmetry_space_group_name_Hall 'F -4 2 3'
loop_
_atom_site_label
_atom_site_fract_x
_atom_site_fract_y
_atom_site_fract_z
Ca1 0.000 0.000 0.000
Ac1 0.250 0.250 0.250
La1 0.250 0.250 0.750
Tb1 0.000 0.000 0.500
```